# 1
The following is a GGA-PBE calculation of KMnTc2 after structural relaxation, from the Alexandria database.

a = 6.040 Å, b = 6.040 Å, c = 6.040 Å
α = 154.08°, β = 125.69°, γ = 61.13°
Atoms (fractional coordinates):
K 0.000 0.000 0.000
Mn 0.291 0.791 0.500
Tc 0.502 0.502 0.000
Tc 0.708 0.208 0.500

## Properties
**Fermi-level density of states**: 3.7 states/eV per cell
**Size of the total moment**: 2.8 μB/cell
**Electronic total energy**: -6.553 eV per atom
**E_form**: 462 kJ/mol of formula units
**Symmetry**: Imm2
**ΔE to the lowest computed polymorph**: 0.521 eV/atom


# 2
The following is a GGA-PBE calculation of K2MnTc after structural relaxation, from the Alexandria database.

a = 2.847 Å, b = 5.969 Å, c = 5.297 Å
α = 90.00°, β = 95.74°, γ = 90.00°
Atoms (fractional coordinates):
K 0.226 0.000 0.250
K 0.774 0.000 0.750
Mn 0.000 0.500 0.500
Tc 0.500 0.500 0.000

## Properties
**Fermi-level density of states**: 4.7 states/eV per cell
**Size of the total moment**: 3.5 μB/cell
**Electronic total energy**: -4.079 eV per atom
**E_form**: 523 kJ/mol of formula units
**Symmetry**: P2/m
**ΔE to the lowest computed polymorph**: 0.594 eV/atom